Entry i
Here is crystalline TlVO2 at its relaxed geometry from Alexandria via LeMat-Bulk. Energies are from PBE with a Hubbard U.

POSCAR file:
```
TlVO2
1.0
-7.151 1.369 -0.300
-6.865 -2.310 -0.799
-6.736 -0.881 2.637
O V Tl
2 1 1
direct
0.915 0.915 0.915
0.085 0.085 0.085
0.000 0.000 0.000
0.500 0.500 0.500
```

Results
DOS at the Fermi energy = 3.6 states/eV per cell
SG = No. 166

---

Entry ii
Here is crystalline TlVO2 at its relaxed geometry from Alexandria via LeMat-Bulk. Energies are from PBE with a Hubbard U.

POSCAR file:
```
TlVO2
1.0
0.000 2.971 2.971
2.971 0.000 2.971
2.971 2.971 0.000
O V Tl
2 1 1
direct
0.250 0.250 0.250
0.750 0.750 0.750
0.000 0.000 0.000
0.500 0.500 0.500
```

Results
DOS at the Fermi energy = 3.0 states/eV per cell
SG = No. 225

---

Ordering by calculated energy gives the sequence entry i, entry ii, with the first entry being the most stable.

---

Entry i
Here is crystalline TlVO2 at its relaxed geometry from Alexandria via LeMat-Bulk. Energies are from PBE with a Hubbard U.

POSCAR file:
```
TlVO2
1.0
-1.289 -2.519 -1.299
1.808 -2.201 -1.256
0.419 -4.776 5.116
Tl O V
1 2 1
direct
0.500 0.500 0.500
0.283 0.283 0.151
0.717 0.717 0.849
0.000 0.000 0.000
```

Results
DOS at the Fermi energy = 2.7 states/eV per cell
SG = No. 166

---

Entry ii
Here is crystalline TlVO2 at its relaxed geometry from Alexandria via LeMat-Bulk. Energies are from PBE with a Hubbard U.

POSCAR file:
```
TlVO2
1.0
2.473 -6.144 3.034
3.241 -6.524 0.039
5.081 -4.855 1.919
V O Tl
1 2 1
direct
0.500 0.500 0.500
0.881 0.881 0.881
0.119 0.119 0.119
0.000 0.000 0.000
```

Results
DOS at the Fermi energy = 1.8 states/eV per cell
SG = No. 166

---

Ordering by calculated energy gives the sequence entry ii, entry i, with the first entry being the most stable.

---

Entry i
Here is crystalline Tl2VO4 at its relaxed geometry from Alexandria via LeMat-Bulk. Energies are from PBE with a Hubbard U.

POSCAR file:
```
Tl2VO4
1.0
5.977 0.718 1.465
0.709 5.978 -1.465
-2.665 -4.025 3.838
O Tl V
4 2 1
direct
0.110 0.135 0.854
0.719 0.744 0.854
0.918 0.427 0.345
0.220 0.909 0.129
0.356 0.773 0.467
0.694 0.111 0.467
0.983 0.900 0.884
```

Results
DOS at the Fermi energy = 1.8 states/eV per cell
SG = No. 8

---

Entry ii
Here is crystalline Tl2VO4 at its relaxed geometry from Alexandria via LeMat-Bulk. Energies are from PBE with a Hubbard U.

POSCAR file:
```
Tl2VO4
1.0
-1.494 -1.544 3.096
0.028 -3.378 -1.670
6.028 -3.710 3.353
O Tl V
4 2 1
direct
0.500 0.000 0.000
0.132 0.132 0.737
0.000 0.500 0.000
0.868 0.868 0.263
0.653 0.653 0.693
0.347 0.347 0.307
0.000 0.000 0.000
```

Results
DOS at the Fermi energy = 2.6 states/eV per cell
SG = No. 139

---

Ordering by calculated energy gives the sequence entry i, entry ii, with the first entry being the most stable.

---

Entry i
Here is crystalline TlV2O6 at its relaxed geometry from Alexandria via LeMat-Bulk. Energies are from PBE with a Hubbard U.

POSCAR file:
```
TlV2O6
1.0
3.701 -0.001 -0.001
-1.849 5.189 -1.299
0.000 0.161 7.504
Tl V O
1 2 6
direct
0.000 0.000 0.000
0.759 0.519 0.336
0.241 0.481 0.664
0.102 0.205 0.729
0.241 0.483 0.396
0.898 0.795 0.271
0.366 0.733 0.858
0.634 0.267 0.142
0.759 0.517 0.604
```

Results
DOS at the Fermi energy = 2.2 states/eV per cell
SG = No. 12

---

Entry ii
Here is crystalline TlV2O6 at its relaxed geometry from Alexandria via LeMat-Bulk. Energies are from PBE with a Hubbard U.

POSCAR file:
```
TlV2O6
1.0
-1.300 -3.475 -4.769
3.698 -6.454 1.278
-6.145 -3.861 2.073
O V Tl
12 4 2
direct
0.951 0.357 0.348
0.205 0.103 0.575
0.451 0.348 0.357
0.295 0.425 0.897
0.705 0.575 0.103
0.549 0.652 0.643
0.156 0.802 0.936
0.656 0.936 0.802
0.844 0.198 0.064
0.049 0.643 0.652
0.795 0.897 0.425
0.344 0.064 0.198
0.733 0.374 0.218
0.767 0.782 0.626
0.267 0.626 0.782
0.233 0.218 0.374
0.750 0.883 0.117
0.250 0.117 0.883
```

Results
DOS at the Fermi energy = 5.8 states/eV per cell
SG = No. 15

---

Ordering by calculated energy gives the sequence entry i, entry ii, with the first entry being the most stable.

---

Entry i
Here is crystalline TlV2O at its relaxed geometry from Alexandria via LeMat-Bulk. Energies are from PBE with a Hubbard U.

POSCAR file:
```
TlV2O
1.0
-2.754 -5.502 1.090
3.614 -2.670 -4.342
3.594 -5.032 1.589
V Tl O
4 2 2
direct
0.373 0.625 0.250
0.375 0.623 0.750
0.377 0.125 0.250
0.875 0.627 0.750
0.000 0.000 0.000
0.750 0.250 0.500
0.500 0.500 0.000
0.250 0.750 0.500
```

Results
DOS at the Fermi energy = 5.0 states/eV per cell
SG = No. 122

---

Entry ii
Here is crystalline TlV2O at its relaxed geometry from Alexandria via LeMat-Bulk. Energies are from PBE with a Hubbard U.

POSCAR file:
```
TlV2O
1.0
0.000 3.265 3.265
3.265 0.000 3.265
3.265 3.265 0.000
O V Tl
1 2 1
direct
0.000 0.000 0.000
0.750 0.750 0.750
0.250 0.250 0.250
0.500 0.500 0.500
```

Results
DOS at the Fermi energy = 4.6 states/eV per cell
SG = No. 225

---

Ordering by calculated energy gives the sequence entry i, entry ii, with the first entry being the most stable.

---

Entry i
Here is crystalline Tl3VO at its relaxed geometry from Alexandria via LeMat-Bulk. Energies are from PBE with a Hubbard U.

POSCAR file:
```
Tl3VO
1.0
-3.884 0.542 3.166
0.113 -4.942 0.984
3.210 0.829 3.796
Tl O V
3 1 1
direct
0.500 0.000 0.000
0.000 0.500 0.000
0.000 0.000 0.500
0.000 0.000 0.000
0.500 0.500 0.500
```

Results
DOS at the Fermi energy = 2.6 states/eV per cell
SG = No. 221

---

Entry ii
Here is crystalline Tl3VO at its relaxed geometry from Alexandria via LeMat-Bulk. Energies are from PBE with a Hubbard U.

POSCAR file:
```
Tl3VO
1.0
-3.231 2.131 3.845
3.212 -2.113 3.870
3.001 4.556 -0.003
Tl O V
3 1 1
direct
0.000 0.500 0.000
0.000 0.000 0.500
0.500 0.000 0.000
0.500 0.500 0.500
0.000 0.000 0.000
```

Results
DOS at the Fermi energy = 5.2 states/eV per cell
SG = No. 221

---

Ordering by calculated energy gives the sequence entry i, entry ii, with the first entry being the most stable.

---

Entry i
Here is crystalline TlW3O9 at its relaxed geometry from Alexandria via LeMat-Bulk. Energies are from PBE with a Hubbard U.

POSCAR file:
```
TlW3O9
1.0
5.989 0.000 -0.109
0.000 7.781 0.000
0.127 0.000 8.241
Tl W O
2 6 18
direct
0.002 0.250 0.428
0.998 0.750 0.572
0.499 0.001 0.695
0.000 0.500 0.000
0.499 0.499 0.695
0.501 0.999 0.305
0.000 0.000 0.000
0.501 0.501 0.305
0.250 0.999 0.166
0.502 0.750 0.693
0.298 0.998 0.499
0.494 0.250 0.693
0.250 0.501 0.166
0.702 0.002 0.501
0.997 0.750 0.002
0.702 0.498 0.501
0.246 0.503 0.832
0.003 0.250 0.998
0.298 0.502 0.499
0.506 0.750 0.307
0.750 0.001 0.834
0.498 0.250 0.307
0.754 0.003 0.168
0.754 0.497 0.168
0.246 0.997 0.832
0.750 0.499 0.834
```

Results
SG = No. 11

---

Entry ii
Here is crystalline TlW3O9 at its relaxed geometry from Alexandria via LeMat-Bulk. Energies are from PBE with a Hubbard U.

POSCAR file:
```
TlW3O9
1.0
-0.946 -7.476 0.149
6.401 2.936 -2.685
1.546 -0.125 3.549
O W Tl
9 3 1
direct
0.211 0.789 0.507
0.579 0.789 0.507
0.789 0.211 0.507
0.500 0.500 0.006
0.211 0.421 0.507
0.500 0.000 0.006
0.000 0.500 0.006
0.789 0.579 0.507
0.421 0.211 0.507
0.000 0.500 0.504
0.500 0.500 0.504
0.500 0.000 0.504
0.000 0.000 0.856
```

Results
DOS at the Fermi energy = 1.4 states/eV per cell
SG = No. 183

---

Ordering by calculated energy gives the sequence entry ii, entry i, with the first entry being the most stable.

---

Entry i
Here is crystalline TlW3O at its relaxed geometry from Alexandria via LeMat-Bulk. Energies are from PBE with a Hubbard U.

POSCAR file:
```
TlW3O
1.0
4.305 0.000 0.000
0.000 4.305 0.000
0.000 0.000 4.305
O Tl W
1 1 3
direct
0.000 0.000 0.000
0.500 0.500 0.500
0.000 0.500 0.000
0.500 0.000 0.000
0.000 0.000 0.500
```

Results
DOS at the Fermi energy = 1.8 states/eV per cell
SG = No. 221

---

Entry ii
Here is crystalline TlW3O at its relaxed geometry from Alexandria via LeMat-Bulk. Energies are from PBE with a Hubbard U.

POSCAR file:
```
TlW3O
1.0
5.473 0.000 0.000
0.000 5.473 0.000
0.000 0.000 5.473
W O Tl
3 1 1
direct
0.000 0.000 0.500
0.000 0.500 0.000
0.500 0.000 0.000
0.500 0.500 0.500
0.000 0.000 0.000
```

Results
DOS at the Fermi energy = 25.3 states/eV per cell
SG = No. 221

---

Ordering by calculated energy gives the sequence entry i, entry ii, with the first entry being the most stable.